(1)
Material: In2C
Method: DFT, GGA-PBEsol
State: relaxed

Cell and atoms, written as POSCAR:
```
In2C
1.0
3.5326 0.0000 0.0000
0.0000 13.1479 0.0000
0.0000 0.0000 4.7261
In C
8 4
Direct
0.0000 0.0615 0.2500
0.0000 0.3027 0.2500
0.0000 0.6973 0.7500
0.0000 0.9385 0.7500
0.5000 0.1973 0.7500
0.5000 0.4385 0.7500
0.5000 0.5615 0.2500
0.5000 0.8027 0.2500
0.0000 0.3235 0.7500
0.0000 0.6765 0.2500
0.5000 0.1765 0.2500
0.5000 0.8235 0.7500
```

Calculated formation energy, eV/atom: 0.88
Space group: No. 63
Crystal system: orthorhombic


(2)
Material: InIrPbC2
Method: DFT, GGA-PBEsol
State: relaxed

Cell and atoms, written as POSCAR:
```
InIrPbC2
1.0
3.9833 0.0000 0.0000
0.0000 3.9833 0.0000
0.0000 0.0000 5.9345
In Ir Pb C
1 1 1 2
Direct
0.0000 0.0000 0.0000
0.5000 0.5000 0.5000
0.5000 0.5000 0.0000
0.0000 0.5000 0.5000
0.5000 0.0000 0.5000
```

Calculated formation energy, eV/atom: 1.30
Space group: No. 123
Crystal system: tetragonal


(3)
Material: K2In2C
Method: DFT, GGA-PBEsol
State: relaxed

Cell and atoms, written as POSCAR:
```
K2In2C
1.0
4.0643 0.0000 0.0000
0.0000 4.0643 0.0000
0.0000 0.0000 19.5914
K In C
4 4 2
Direct
0.0000 0.0000 0.0824
0.0000 0.0000 0.9176
0.5000 0.5000 0.4176
0.5000 0.5000 0.5824
0.0000 0.5000 0.2500
0.0000 0.5000 0.7500
0.5000 0.0000 0.2500
0.5000 0.0000 0.7500
0.0000 0.0000 0.5000
0.5000 0.5000 0.0000
```

Calculated formation energy, eV/atom: 1.00
Space group: No. 139
Crystal system: tetragonal


(4)
Material: LaInC2
Method: DFT, GGA-PBEsol
State: relaxed

Cell and atoms, written as POSCAR:
```
LaInC2
1.0
5.0013 0.0000 0.0000
0.0000 5.0013 0.0000
0.0000 0.0000 12.2449
La In C
4 4 8
Direct
0.0000 0.0000 0.0000
0.0000 0.5000 0.2500
0.5000 0.0000 0.7500
0.5000 0.5000 0.5000
0.0000 0.0000 0.5000
0.0000 0.5000 0.7500
0.5000 0.0000 0.2500
0.5000 0.5000 0.0000
0.2049 0.2500 0.6250
0.2500 0.7049 0.8750
0.2500 0.7951 0.3750
0.2951 0.2500 0.1250
0.7049 0.7500 0.1250
0.7500 0.2049 0.3750
0.7500 0.2951 0.8750
0.7951 0.7500 0.6250
```

Calculated formation energy, eV/atom: 1.00
Space group: No. 122
Crystal system: tetragonal


(5)
Material: RbLiIn2C
Method: DFT, GGA-PBEsol
State: relaxed

Cell and atoms, written as POSCAR:
```
RbLiIn2C
1.0
6.0794 0.0000 0.0000
0.0000 6.0794 0.0000
0.0000 0.0000 4.6733
Rb Li In C
1 1 2 1
Direct
0.0000 0.0000 0.0000
0.5000 0.5000 0.5000
0.0000 0.5000 0.0000
0.5000 0.0000 0.0000
0.0000 0.0000 0.5000
```

Calculated formation energy, eV/atom: 1.84
Space group: No. 123
Crystal system: tetragonal


(6)
Material: MgInRe2C
Method: DFT, GGA-PBEsol
State: relaxed

Cell and atoms, written as POSCAR:
```
MgInRe2C
1.0
4.9233 0.0000 0.0000
0.0000 4.9233 0.0000
0.0000 0.0000 4.8844
Mg In Re C
1 1 2 1
Direct
0.0000 0.0000 0.0000
0.0000 0.0000 0.5000
0.0000 0.5000 0.5000
0.5000 0.0000 0.5000
0.5000 0.5000 0.0000
```

Calculated formation energy, eV/atom: 3.63
Space group: No. 123
Crystal system: tetragonal


(7)
Material: TiMn2InC
Method: DFT, GGA-PBEsol
State: relaxed

Cell and atoms, written as POSCAR:
```
TiMn2InC
1.0
3.8814 0.0000 0.0000
0.0000 3.8814 0.0000
0.0000 0.0000 4.1823
Ti Mn In C
1 2 1 1
Direct
0.0000 0.0000 0.0000
0.0000 0.5000 0.5000
0.5000 0.0000 0.5000
0.5000 0.5000 0.0000
0.0000 0.0000 0.5000
```

Calculated formation energy, eV/atom: -0.15
Space group: No. 123
Crystal system: tetragonal


(8)
Material: InMo2CS
Method: DFT, GGA-PBEsol
State: relaxed

Cell and atoms, written as POSCAR:
```
InMo2CS
1.0
4.3265 0.0000 0.0000
0.0000 4.3265 0.0000
0.0000 0.0000 4.9743
In Mo C S
1 2 1 1
Direct
0.0000 0.0000 0.0000
0.0000 0.5000 0.5000
0.5000 0.0000 0.5000
0.5000 0.5000 0.0000
0.0000 0.0000 0.5000
```

Formation energy (no corrections), eV/atom: 1.993
Space group: No. 123
Crystal system: tetragonal


(9)
Material: InCN2O
Method: DFT, GGA-PBEsol
State: relaxed

Cell and atoms, written as POSCAR:
```
InCN2O
1.0
3.0591 0.0000 0.0000
0.0000 3.0591 0.0000
0.0000 0.0000 5.4268
In C N O
1 1 2 1
Direct
0.0000 0.0000 0.0000
0.5000 0.5000 0.5000
0.0000 0.5000 0.5000
0.5000 0.0000 0.5000
0.5000 0.5000 0.0000
```

Formation energy (no corrections), eV/atom: 1.186
Space group: No. 123
Crystal system: tetragonal


(10)
Material: Nb2InC
Method: DFT, GGA-PBEsol
State: relaxed

Cell and atoms, written as POSCAR:
```
Nb2InC
1.0
3.1716 0.0000 0.0000
-1.5858 2.7467 0.0000
0.0000 0.0000 14.3218
Nb In C
4 2 2
Direct
0.3333 0.6667 0.0831
0.3333 0.6667 0.4169
0.6667 0.3333 0.5831
0.6667 0.3333 0.9169
0.3333 0.6667 0.7500
0.6667 0.3333 0.2500
0.0000 0.0000 0.0000
0.0000 0.0000 0.5000
```

Calculated formation energy, eV/atom: -0.48
Space group: No. 194
Crystal system: hexagonal


(11)
Material: Nd3InC
Method: DFT, GGA-PBEsol
State: relaxed

Cell and atoms, written as POSCAR:
```
Nd3InC
1.0
5.0584 0.0000 0.0000
0.0000 5.0584 0.0000
0.0000 0.0000 5.0584
Nd In C
3 1 1
Direct
0.0000 0.0000 0.5000
0.0000 0.5000 0.0000
0.5000 0.0000 0.0000
0.5000 0.5000 0.5000
0.0000 0.0000 0.0000
```

Calculated formation energy, eV/atom: -0.34
Space group: No. 221
Crystal system: cubic


(12)
Material: In3NiC
Method: DFT, GGA-PBEsol
State: relaxed

Cell and atoms, written as POSCAR:
```
In3NiC
1.0
4.5568 0.0000 0.0000
0.0000 4.5568 0.0000
0.0000 0.0000 4.5568
In Ni C
3 1 1
Direct
0.0000 0.0000 0.5000
0.0000 0.5000 0.0000
0.5000 0.0000 0.0000
0.5000 0.5000 0.5000
0.0000 0.0000 0.0000
```

Calculated formation energy, eV/atom: 1.02
Space group: No. 221
Crystal system: cubic


(13)
Material: TiInOs2C
Method: DFT, GGA-PBEsol
State: relaxed

Cell and atoms, written as POSCAR:
```
TiInOs2C
1.0
4.8923 0.0000 0.0000
0.0000 4.8923 0.0000
0.0000 0.0000 3.8107
Ti In Os C
1 1 2 1
Direct
0.0000 0.0000 0.0000
0.5000 0.5000 0.5000
0.0000 0.5000 0.5000
0.5000 0.0000 0.5000
0.5000 0.5000 0.0000
```

Calculated formation energy, eV/atom: 2.72
Space group: No. 123
Crystal system: tetragonal


(14)
Material: In2PC
Method: DFT, GGA-PBEsol
State: relaxed

Cell and atoms, written as POSCAR:
```
In2PC
1.0
6.4637 0.0000 0.0000
0.0000 6.4637 0.0000
0.0000 0.0000 6.4637
In P C
8 4 4
Direct
0.2500 0.2500 0.2500
0.2500 0.2500 0.7500
0.2500 0.7500 0.2500
0.2500 0.7500 0.7500
0.7500 0.2500 0.2500
0.7500 0.2500 0.7500
0.7500 0.7500 0.2500
0.7500 0.7500 0.7500
0.0000 0.0000 0.0000
0.0000 0.5000 0.5000
0.5000 0.0000 0.5000
0.5000 0.5000 0.0000
0.0000 0.0000 0.5000
0.0000 0.5000 0.0000
0.5000 0.0000 0.0000
0.5000 0.5000 0.5000
```

Calculated formation energy, eV/atom: 1.30
Space group: No. 225
Crystal system: cubic


(15)
Material: InPC2
Method: DFT, GGA-PBEsol
State: relaxed

Cell and atoms, written as POSCAR:
```
InPC2
1.0
4.7464 0.0000 0.0000
0.0000 4.7464 0.0000
0.0000 0.0000 8.5756
In P C
4 4 8
Direct
0.0000 0.0000 0.0000
0.0000 0.5000 0.2500
0.5000 0.0000 0.7500
0.5000 0.5000 0.5000
0.0000 0.0000 0.5000
0.0000 0.5000 0.7500
0.5000 0.0000 0.2500
0.5000 0.5000 0.0000
0.1726 0.2500 0.6250
0.2500 0.6726 0.8750
0.2500 0.8274 0.3750
0.3274 0.2500 0.1250
0.6726 0.7500 0.1250
0.7500 0.1726 0.3750
0.7500 0.3274 0.8750
0.8274 0.7500 0.6250
```

Calculated formation energy, eV/atom: 0.42
Space group: No. 122
Crystal system: tetragonal


(16)
Material: InPRuC2
Method: DFT, GGA-PBEsol
State: relaxed

Cell and atoms, written as POSCAR:
```
InPRuC2
1.0
3.5697 0.0000 0.0000
0.0000 3.5697 0.0000
0.0000 0.0000 6.0564
In P Ru C
1 1 1 2
Direct
0.0000 0.0000 0.0000
0.0000 0.0000 0.5000
0.5000 0.5000 0.0000
0.0000 0.5000 0.5000
0.5000 0.0000 0.5000
```

Calculated formation energy, eV/atom: 2.01
Space group: No. 123
Crystal system: tetragonal


(17)
Material: InPCS2
Method: DFT, GGA-PBEsol
State: relaxed

Cell and atoms, written as POSCAR:
```
InPCS2
1.0
4.6618 0.0000 0.0000
0.0000 4.6618 0.0000
0.0000 0.0000 3.5978
In P C S
1 1 1 2
Direct
0.0000 0.0000 0.0000
0.5000 0.5000 0.0000
0.5000 0.5000 0.5000
0.0000 0.5000 0.5000
0.5000 0.0000 0.5000
```

Formation energy (no corrections), eV/atom: 0.877
Space group: No. 123
Crystal system: tetragonal


(18)
Material: InPbC2
Method: DFT, GGA-PBEsol
State: relaxed

Cell and atoms, written as POSCAR:
```
InPbC2
1.0
6.2663 0.0000 0.0000
0.0000 6.2663 0.0000
0.0000 0.0000 6.2663
In Pb C
4 4 8
Direct
0.0000 0.0000 0.0000
0.0000 0.5000 0.5000
0.5000 0.0000 0.5000
0.5000 0.5000 0.0000
0.0000 0.0000 0.5000
0.0000 0.5000 0.0000
0.5000 0.0000 0.0000
0.5000 0.5000 0.5000
0.2500 0.2500 0.2500
0.2500 0.2500 0.7500
0.2500 0.7500 0.2500
0.2500 0.7500 0.7500
0.7500 0.2500 0.2500
0.7500 0.2500 0.7500
0.7500 0.7500 0.2500
0.7500 0.7500 0.7500
```

Calculated formation energy, eV/atom: 2.20
Space group: No. 225
Crystal system: cubic


(19)
Material: InTc2PbC
Method: DFT, GGA-PBEsol
State: relaxed

Cell and atoms, written as POSCAR:
```
InTc2PbC
1.0
5.1350 0.0000 0.0000
0.0000 5.1350 0.0000
0.0000 0.0000 5.5378
In Tc Pb C
1 2 1 1
Direct
0.0000 0.0000 0.0000
0.0000 0.5000 0.5000
0.5000 0.0000 0.5000
0.0000 0.0000 0.5000
0.5000 0.5000 0.0000
```

Calculated formation energy, eV/atom: 3.40
Space group: No. 123
Crystal system: tetragonal


(20)
Material: TiIn2PbC
Method: DFT, GGA-PBEsol
State: relaxed

Cell and atoms, written as POSCAR:
```
TiIn2PbC
1.0
4.4551 0.0000 0.0000
0.0000 4.4551 0.0000
0.0000 0.0000 5.3260
Ti In Pb C
1 2 1 1
Direct
0.0000 0.0000 0.0000
0.0000 0.5000 0.5000
0.5000 0.0000 0.5000
0.5000 0.5000 0.0000
0.5000 0.5000 0.5000
```

Calculated formation energy, eV/atom: 1.02
Space group: No. 123
Crystal system: tetragonal


(21)
Material: In3PdC
Method: DFT, GGA-PBEsol
State: relaxed

Cell and atoms, written as POSCAR:
```
In3PdC
1.0
5.0547 0.0000 0.0000
0.0000 5.0547 0.0000
0.0000 0.0000 5.0547
In Pd C
3 1 1
Direct
0.0000 0.0000 0.5000
0.0000 0.5000 0.0000
0.5000 0.0000 0.0000
0.0000 0.0000 0.0000
0.5000 0.5000 0.5000
```

Calculated formation energy, eV/atom: 1.19
Space group: No. 221
Crystal system: cubic


(22)
Material: InPd2C
Method: DFT, GGA-PBEsol
State: relaxed

Cell and atoms, written as POSCAR:
```
InPd2C
1.0
6.1128 0.0000 0.0000
0.0000 6.1128 0.0000
0.0000 0.0000 6.1128
In Pd C
4 8 4
Direct
0.0000 0.0000 0.0000
0.0000 0.5000 0.5000
0.5000 0.0000 0.5000
0.5000 0.5000 0.0000
0.2500 0.2500 0.2500
0.2500 0.2500 0.7500
0.2500 0.7500 0.2500
0.2500 0.7500 0.7500
0.7500 0.2500 0.2500
0.7500 0.2500 0.7500
0.7500 0.7500 0.2500
0.7500 0.7500 0.7500
0.0000 0.0000 0.5000
0.0000 0.5000 0.0000
0.5000 0.0000 0.0000
0.5000 0.5000 0.5000
```

Calculated formation energy, eV/atom: 0.93
Space group: No. 225
Crystal system: cubic


(23)
Material: InPdC3
Method: DFT, GGA-PBEsol
State: relaxed

Cell and atoms, written as POSCAR:
```
InPdC3
1.0
4.2110 0.0000 0.0000
0.0000 4.2110 0.0000
0.0000 0.0000 4.2110
In Pd C
1 1 3
Direct
0.0000 0.0000 0.0000
0.5000 0.5000 0.5000
0.0000 0.0000 0.5000
0.0000 0.5000 0.0000
0.5000 0.0000 0.0000
```

Calculated formation energy, eV/atom: 3.27
Space group: No. 221
Crystal system: cubic


(24)
Material: ScInPd2C
Method: DFT, GGA-PBEsol
State: relaxed

Cell and atoms, written as POSCAR:
```
ScInPd2C
1.0
4.9105 0.0000 0.0000
0.0000 4.9105 0.0000
0.0000 0.0000 4.0617
Sc In Pd C
1 1 2 1
Direct
0.0000 0.0000 0.0000
0.5000 0.5000 0.5000
0.0000 0.5000 0.5000
0.5000 0.0000 0.5000
0.5000 0.5000 0.0000
```

Calculated formation energy, eV/atom: 1.04
Space group: No. 123
Crystal system: tetragonal


(25)
Material: Pr3InC
Method: DFT, GGA-PBEsol
State: relaxed

Cell and atoms, written as POSCAR:
```
Pr3InC
1.0
5.7317 0.0000 0.0000
0.0000 5.7317 0.0000
0.0000 0.0000 5.7317
Pr In C
3 1 1
Direct
0.0000 0.0000 0.5000
0.0000 0.5000 0.0000
0.5000 0.0000 0.0000
0.0000 0.0000 0.0000
0.5000 0.5000 0.5000
```

Calculated formation energy, eV/atom: 1.63
Space group: No. 221
Crystal system: cubic


(26)
Material: InPtC2
Method: DFT, GGA-PBEsol
State: relaxed

Cell and atoms, written as POSCAR:
```
InPtC2
1.0
4.9206 0.0000 0.0000
0.0000 4.9206 0.0000
0.0000 0.0000 9.6344
In Pt C
4 4 8
Direct
0.0000 0.0000 0.0000
0.0000 0.5000 0.2500
0.5000 0.0000 0.7500
0.5000 0.5000 0.5000
0.0000 0.0000 0.5000
0.0000 0.5000 0.7500
0.5000 0.0000 0.2500
0.5000 0.5000 0.0000
0.2050 0.2500 0.6250
0.2500 0.7050 0.8750
0.2500 0.7950 0.3750
0.2950 0.2500 0.1250
0.7050 0.7500 0.1250
0.7500 0.2050 0.3750
0.7500 0.2950 0.8750
0.7950 0.7500 0.6250
```

Calculated formation energy, eV/atom: 1.15
Space group: No. 122
Crystal system: tetragonal


(27)
Material: InPt2C2
Method: DFT, GGA-PBEsol
State: relaxed

Cell and atoms, written as POSCAR:
```
InPt2C2
1.0
3.5366 0.0000 0.0000
0.0000 3.5366 0.0000
0.0000 0.0000 12.2934
In Pt C
2 4 4
Direct
0.0000 0.0000 0.0000
0.5000 0.5000 0.5000
0.0000 0.0000 0.3332
0.0000 0.0000 0.6668
0.5000 0.5000 0.1668
0.5000 0.5000 0.8332
0.0000 0.5000 0.2500
0.0000 0.5000 0.7500
0.5000 0.0000 0.2500
0.5000 0.0000 0.7500
```

Calculated formation energy, eV/atom: 1.00
Space group: No. 139
Crystal system: tetragonal


(28)
Material: SrInReC2
Method: DFT, GGA-PBEsol
State: relaxed

Cell and atoms, written as POSCAR:
```
SrInReC2
1.0
4.1459 0.0000 0.0000
0.0000 4.1459 0.0000
0.0000 0.0000 5.1631
Sr In Re C
1 1 1 2
Direct
0.0000 0.0000 0.0000
0.5000 0.5000 0.0000
0.5000 0.5000 0.5000
0.0000 0.5000 0.5000
0.5000 0.0000 0.5000
```

Calculated formation energy, eV/atom: 0.96
Space group: No. 123
Crystal system: tetragonal